(1)
Below is Pm7Dy4Sc after structural relaxation, with properties calculated at the PBE level.

Summary:
electronic total energy	-4.65	eV/atom

a = 5.389 Å, b = 13.412 Å, c = 6.303 Å
α = 93.85°, β = 64.69°, γ = 78.41°
Last column: magnetic moment on the atom in μB.
Fractional coordinates of all 12 atoms:
Dy 0.411 0.266 0.913  0.00
Dy 0.250 0.782 0.717  0.00
Dy 0.589 0.734 0.087  0.00
Dy 0.750 0.218 0.283  0.00
Pm 0.165 0.106 0.564  0.00
Pm 0.835 0.894 0.436  0.00
Pm 0.500 0.000 0.000  0.09
Pm 0.675 0.466 0.184  0.00
Pm 0.957 0.632 0.455  0.00
Pm 0.043 0.368 0.545  0.00
Pm 0.325 0.534 0.816  0.00
Sc 0.000 0.000 0.000  0.13

=====

(2)
Below is Pm4Dy10Sc after structural relaxation, with properties calculated at the PBE level.

Summary:
electronic total energy	-4.51	eV/atom

a = 7.693 Å, b = 8.893 Å, c = 8.893 Å
α = 79.22°, β = 64.37°, γ = 64.37°
Fractional coordinates of all 15 atoms:
Dy 0.713 0.208 0.792
Dy 0.750 0.500 0.500
Dy 0.250 0.500 0.500
Dy 0.506 0.208 0.208
Dy 0.079 0.208 0.208
Dy 0.287 0.792 0.208
Dy 0.713 0.792 0.208
Dy 0.287 0.208 0.792
Dy 0.921 0.792 0.792
Dy 0.494 0.792 0.792
Pm 0.770 0.000 0.461
Pm 0.231 0.539 0.000
Pm 0.230 0.000 0.539
Pm 0.769 0.461 0.000
Sc 0.000 0.000 0.000

=====

(3)
Below is Pm3Dy7Sc after structural relaxation, with properties calculated at the PBE level.

Summary:
electronic total energy	-4.62	eV/atom

a = 8.600 Å, b = 7.021 Å, c = 7.021 Å
α = 120.00°, β = 90.00°, γ = 90.00°
Fractional coordinates of all 11 atoms:
Sc 0.443 0.333 0.667
Dy 0.123 0.168 0.832
Dy 0.447 0.832 0.168
Dy 0.447 0.832 0.665
Dy 0.447 0.335 0.168
Dy 0.123 0.663 0.832
Dy 0.121 0.667 0.333
Dy 0.123 0.168 0.337
Pm 0.781 0.499 0.501
Pm 0.781 0.002 0.501
Pm 0.781 0.499 0.998

=====

(4)
Below is Pm12Dy7Sc after structural relaxation, with properties calculated at the PBE level.

Summary:
electronic total energy	-4.62	eV/atom

a = 9.352 Å, b = 9.352 Å, c = 9.352 Å
α = 108.02°, β = 108.02°, γ = 108.02°
Fractional coordinates of all 20 atoms:
Dy 0.118 0.678 0.003
Dy 0.003 0.118 0.678
Dy 0.882 0.322 0.997
Dy 0.997 0.882 0.322
Dy 0.678 0.003 0.118
Dy 0.322 0.997 0.882
Dy 0.500 0.500 0.500
Pm 0.220 0.695 0.430
Pm 0.057 0.288 0.372
Pm 0.943 0.712 0.628
Pm 0.695 0.430 0.220
Pm 0.570 0.780 0.305
Pm 0.372 0.057 0.288
Pm 0.780 0.305 0.570
Pm 0.712 0.628 0.943
Pm 0.430 0.220 0.695
Pm 0.288 0.372 0.057
Pm 0.628 0.943 0.712
Pm 0.305 0.570 0.780
Sc 0.000 0.000 0.000

=====

(5)
Below is Pm3DySc2 after structural relaxation, with properties calculated at the PBE level.

Summary:
electronic total energy	-4.98	eV/atom

a = 5.502 Å, b = 8.731 Å, c = 8.731 Å
α = 111.95°, β = 90.00°, γ = 90.00°
Fractional coordinates of all 12 atoms:
Dy 0.993 0.723 0.723
Dy 0.493 0.277 0.277
Sc 0.493 0.489 0.696
Sc 0.993 0.511 0.304
Sc 0.493 0.696 0.489
Sc 0.993 0.304 0.511
Pm 0.493 0.110 0.623
Pm 0.493 0.623 0.110
Pm 0.993 0.093 0.093
Pm 0.993 0.890 0.377
Pm 0.993 0.377 0.890
Pm 0.493 0.907 0.907

=====

(6)
Below is Pm7Dy2Sc after structural relaxation, with properties calculated at the PBE level.

Summary:
electronic total energy	-4.22	eV/atom

a = 5.277 Å, b = 9.637 Å, c = 9.637 Å
α = 125.65°, β = 90.00°, γ = 90.00°
Fractional coordinates of all 10 atoms:
Pm 0.500 0.073 0.286
Pm 0.000 0.197 0.803
Pm 0.500 0.714 0.927
Pm 0.500 0.927 0.714
Pm 0.000 0.803 0.197
Pm 0.500 0.500 0.500
Pm 0.500 0.286 0.073
Dy 0.500 0.296 0.704
Dy 0.500 0.704 0.296
Sc 0.000 0.000 0.000

=====

(7)
Below is PmDy6Sc2 after structural relaxation, with properties calculated at the PBE level.

Summary:
electronic total energy	-4.87	eV/atom

a = 6.537 Å, b = 9.304 Å, c = 9.304 Å
α = 87.69°, β = 80.06°, γ = 80.06°
Fractional coordinates of all 18 atoms:
Dy 0.236 0.463 0.050
Dy 0.998 0.332 0.616
Dy 0.498 0.616 0.332
Dy 0.178 0.036 0.206
Dy 0.736 0.050 0.463
Dy 0.322 0.794 0.964
Dy 0.502 0.384 0.668
Dy 0.264 0.950 0.537
Dy 0.002 0.668 0.384
Dy 0.678 0.206 0.036
Dy 0.822 0.964 0.794
Dy 0.764 0.537 0.950
Sc 0.129 0.652 0.710
Sc 0.371 0.290 0.348
Sc 0.629 0.710 0.652
Sc 0.871 0.348 0.290
Pm 0.750 0.857 0.143
Pm 0.250 0.143 0.857

=====

(8)
Below is Pm4DySc5 after structural relaxation, with properties calculated at the PBE level.

Summary:
electronic total energy	-5.47	eV/atom

a = 3.543 Å, b = 3.543 Å, c = 22.952 Å
α = 90.00°, β = 90.00°, γ = 90.00°
Fractional coordinates of all 10 atoms:
Sc 0.500 0.500 0.098
Sc 0.500 0.500 0.902
Sc 0.500 0.500 0.701
Sc 0.500 0.500 0.500
Sc 0.500 0.500 0.299
Pm 0.000 0.000 0.600
Pm 0.000 0.000 0.400
Pm 0.000 0.000 0.802
Pm 0.000 0.000 0.198
Dy 0.000 0.000 0.000

=====

(9)
Below is Pm3Dy3Sc5 after structural relaxation, with properties calculated at the PBE level.

Summary:
electronic total energy	-4.62	eV/atom

a = 5.419 Å, b = 9.061 Å, c = 9.061 Å
α = 120.00°, β = 90.00°, γ = 90.00°
Fractional coordinates of all 11 atoms:
Dy 0.000 0.387 0.387
Dy 0.000 0.000 0.613
Dy 0.000 0.613 0.000
Sc 0.500 0.333 0.667
Sc 0.500 0.243 0.243
Sc 0.500 0.000 0.757
Sc 0.500 0.757 0.000
Sc 0.500 0.667 0.333
Pm 0.500 0.000 0.381
Pm 0.500 0.381 0.000
Pm 0.500 0.619 0.619

=====

(10)
Below is Pm6Dy12Sc after structural relaxation, with properties calculated at the PBE level.

Summary:
electronic total energy	-4.59	eV/atom

a = 8.532 Å, b = 8.532 Å, c = 8.532 Å
α = 88.84°, β = 88.84°, γ = 88.84°
Fractional coordinates of all 19 atoms:
Pm 0.909 0.305 0.742
Pm 0.305 0.742 0.909
Pm 0.258 0.091 0.695
Pm 0.091 0.695 0.258
Pm 0.742 0.909 0.305
Pm 0.695 0.258 0.091
Dy 0.646 0.986 0.801
Dy 0.801 0.646 0.986
Dy 0.014 0.199 0.354
Dy 0.538 0.440 0.777
Dy 0.986 0.801 0.646
Dy 0.462 0.560 0.223
Dy 0.777 0.538 0.440
Dy 0.560 0.223 0.462
Dy 0.223 0.462 0.560
Dy 0.354 0.014 0.199
Dy 0.440 0.777 0.538
Dy 0.199 0.354 0.014
Sc 0.000 0.000 0.000

=====

(11)
Below is PmDy6Sc2 after structural relaxation, with properties calculated at the PBE level.

Summary:
electronic total energy	-4.92	eV/atom

a = 5.535 Å, b = 11.625 Å, c = 11.625 Å
α = 48.58°, β = 103.69°, γ = 103.69°
Fractional coordinates of all 18 atoms:
Pm 0.750 0.750 0.250
Pm 0.250 0.250 0.750
Dy 0.164 0.496 0.329
Dy 0.836 0.504 0.671
Dy 0.419 0.419 0.920
Dy 0.339 0.004 0.171
Dy 0.336 0.671 0.504
Dy 0.839 0.171 0.004
Dy 0.664 0.329 0.496
Dy 0.581 0.581 0.080
Dy 0.661 0.996 0.829
Dy 0.161 0.829 0.996
Dy 0.919 0.920 0.419
Dy 0.081 0.080 0.581
Sc 0.499 0.167 0.333
Sc 0.999 0.333 0.167
Sc 0.501 0.833 0.667
Sc 0.001 0.667 0.833

=====

(12)
Below is PmDySc2 after structural relaxation, with properties calculated at the PBE level.

Summary:
electronic total energy	-5.44	eV/atom

a = 3.448 Å, b = 3.448 Å, c = 11.169 Å
α = 81.12°, β = 81.12°, γ = 60.00°
Fractional coordinates of all 4 atoms:
Sc 0.249 0.249 0.252
Sc 0.751 0.751 0.748
Dy 0.500 0.500 0.500
Pm 0.000 0.000 0.000

=====

(13)
Below is Pm6Dy3Sc after structural relaxation, with properties calculated at the PBE level.

Summary:
electronic total energy	-4.73	eV/atom

a = 6.241 Å, b = 11.062 Å, c = 11.062 Å
α = 120.29°, β = 90.00°, γ = 90.00°
Fractional coordinates of all 20 atoms:
Pm 0.651 0.276 0.724
Pm 0.543 0.622 0.710
Pm 0.543 0.290 0.378
Pm 0.856 0.477 0.055
Pm 0.043 0.710 0.622
Pm 0.043 0.378 0.290
Pm 0.151 0.724 0.276
Pm 0.356 0.055 0.477
Pm 0.420 0.956 0.044
Pm 0.920 0.044 0.956
Pm 0.356 0.523 0.945
Pm 0.856 0.945 0.523
Dy 0.961 0.053 0.276
Dy 0.961 0.724 0.947
Dy 0.571 0.614 0.386
Dy 0.461 0.947 0.724
Dy 0.461 0.276 0.053
Dy 0.071 0.386 0.614
Sc 0.622 0.799 0.201
Sc 0.122 0.201 0.799

=====

(14)
Below is PmDy4Sc7 after structural relaxation, with properties calculated at the PBE level.

Summary:
electronic total energy	-5.36	eV/atom

a = 5.568 Å, b = 11.128 Å, c = 6.346 Å
α = 84.31°, β = 63.98°, γ = 75.51°
Fractional coordinates of all 12 atoms:
Sc 0.500 0.000 0.000
Sc 0.957 0.367 0.719
Sc 0.043 0.633 0.281
Sc 0.790 0.919 0.501
Sc 0.210 0.081 0.499
Sc 0.640 0.487 0.234
Sc 0.360 0.513 0.766
Dy 0.367 0.775 0.490
Dy 0.721 0.694 0.863
Dy 0.279 0.306 0.137
Dy 0.633 0.225 0.510
Pm 0.000 0.000 0.000

=====

(15)
Below is Pm2Dy2Sc3 after structural relaxation, with properties calculated at the PBE level.

Summary:
electronic total energy	-5.22	eV/atom

a = 6.213 Å, b = 5.540 Å, c = 12.106 Å
α = 90.00°, β = 90.00°, γ = 92.47°
Fractional coordinates of all 14 atoms:
Pm 0.337 0.548 0.179
Pm 0.837 0.548 0.321
Pm 0.663 0.452 0.821
Pm 0.163 0.452 0.679
Sc 0.500 0.000 0.000
Sc 0.710 0.467 0.557
Sc 0.790 0.533 0.057
Sc 0.000 0.000 0.500
Sc 0.210 0.467 0.943
Sc 0.290 0.533 0.443
Dy 0.498 0.960 0.656
Dy 0.502 0.040 0.344
Dy 0.002 0.040 0.156
Dy 0.998 0.960 0.844

=====

(16)
Below is Pm4Dy3Sc after structural relaxation, with properties calculated at the PBE level.

Summary:
electronic total energy	-4.74	eV/atom

a = 3.658 Å, b = 5.438 Å, c = 13.583 Å
α = 101.55°, β = 97.69°, γ = 90.00°
Fractional coordinates of all 8 atoms:
Pm 0.596 0.595 0.191
Pm 0.717 0.718 0.436
Pm 0.404 0.405 0.809
Pm 0.283 0.282 0.564
Dy 0.141 0.141 0.282
Dy 0.859 0.859 0.718
Dy 0.500 0.000 0.000
Sc 0.000 0.500 0.000

=====

(17)
Below is Pm5Dy4Sc4 after structural relaxation, with properties calculated at the PBE level.

Summary:
electronic total energy	-5.14	eV/atom

a = 4.942 Å, b = 9.257 Å, c = 9.257 Å
α = 85.91°, β = 74.52°, γ = 74.52°
Fractional coordinates of all 13 atoms:
Dy 0.383 0.695 0.539
Dy 0.078 0.539 0.305
Dy 0.922 0.461 0.695
Dy 0.617 0.305 0.461
Pm 0.000 0.000 0.000
Pm 0.306 0.151 0.237
Pm 0.694 0.849 0.763
Pm 0.457 0.237 0.849
Pm 0.543 0.763 0.151
Sc 0.766 0.389 0.078
Sc 0.156 0.078 0.611
Sc 0.234 0.611 0.922
Sc 0.844 0.922 0.389

=====

(18)
Below is PmDy5Sc2 after structural relaxation, with properties calculated at the PBE level.

Summary:
electronic total energy	-5.01	eV/atom

a = 6.944 Å, b = 6.944 Å, c = 6.974 Å
α = 119.86°, β = 119.86°, γ = 90.00°
Fractional coordinates of all 8 atoms:
Dy 0.222 0.222 0.944
Dy 0.722 0.722 0.944
Dy 0.722 0.222 0.944
Dy 0.222 0.722 0.944
Dy 0.722 0.722 0.444
Sc 0.222 0.722 0.444
Sc 0.722 0.222 0.444
Pm 0.222 0.222 0.444

=====

(19)
Below is PmDy15Sc4 after structural relaxation, with properties calculated at the PBE level.

Summary:
electronic total energy	-4.92	eV/atom

a = 4.943 Å, b = 4.943 Å, c = 24.633 Å
α = 90.00°, β = 90.00°, γ = 90.00°
Fractional coordinates of all 20 atoms:
Sc 0.000 0.000 0.203
Sc 0.000 0.000 0.401
Sc 0.000 0.000 0.797
Sc 0.000 0.000 0.599
Dy 0.500 0.000 0.104
Dy 0.500 0.000 0.698
Dy 0.500 0.000 0.500
Dy 0.500 0.500 0.796
Dy 0.000 0.500 0.896
Dy 0.500 0.000 0.302
Dy 0.000 0.500 0.698
Dy 0.500 0.500 0.204
Dy 0.500 0.500 0.000
Dy 0.000 0.500 0.302
Dy 0.500 0.500 0.401
Dy 0.000 0.500 0.500
Dy 0.500 0.500 0.599
Dy 0.500 0.000 0.896
Dy 0.000 0.500 0.104
Pm 0.000 0.000 0.000

=====

Number 1: formation enthalpy at 0 K 0.187 eV per atom. Number 2: formation enthalpy at 0 K 0.252 eV per atom. Number 3: formation enthalpy at 0 K 0.181 eV per atom. Number 4: formation enthalpy at 0 K 0.159 eV per atom. Number 5: formation enthalpy at 0 K 0.271 eV per atom. Number 6: formation enthalpy at 0 K 0.663 eV per atom. Number 7: formation enthalpy at 0 K 0.130 eV per atom. Number 8: formation enthalpy at 0 K 0.052 eV per atom. Number 9: formation enthalpy at 0 K 0.812 eV per atom. Number 10: formation enthalpy at 0 K 0.149 eV per atom. Number 11: formation enthalpy at 0 K 0.081 eV per atom. Number 12: formation enthalpy at 0 K 0.061 eV per atom. Number 13: formation enthalpy at 0 K 0.139 eV per atom. Number 14: formation enthalpy at 0 K 0.267 eV per atom. Number 15: formation enthalpy at 0 K 0.167 eV per atom. Number 16: formation enthalpy at 0 K 0.153 eV per atom. Number 17: formation enthalpy at 0 K 0.047 eV per atom. Number 18: formation enthalpy at 0 K 0.038 eV per atom. Number 19: formation enthalpy at 0 K 0.037 eV per atom.